Material: MnSeO2F
Method: DFT, PBE with a Hubbard U
State: optimized geometry

a b c (Å): 3.9807 3.9807 3.8746
angles (deg): 90.00 90.00 90.00
Space group P4/mmm (No. 123)
Symmetry-distinct sites (fractional):
Mn: 0.0000 0.0000 0.0000 [1 per cell]
Se: 0.5000 0.5000 0.5000 [1 per cell]
O: 0.0000 0.5000 0.0000 [2 per cell]
F: 0.0000 0.0000 0.5000 [1 per cell]

Output
- DFT total energy (eV/atom) = -5.20
- magnetic moment (μB per formula unit) = 3.8
- density (g/cm3) = 5.0